Record 1
Computed, not measured: Rb2TlSeF6 after structural relaxation at the PBE level of DFT.

Calculated values
E: -3.916 eV/atom
Formation energy without anion corrections: -2.01 eV per atom
Calculated density: 4296 kg/m³
Size of the total moment: 0.100 μB per atom
Volume: 21.963 A^3/atom

Cell: 6.508 6.508 6.933 Å, 62.01 62.01 90.00°
Site moments in Bohr magnetons follow the coordinates.
Element x y z (fractional)
Tl (0.000, 0.000, 0.000)  0.02
Se (0.500, 0.500, 0.000)  0.48
Rb (0.750, 0.250, 0.500)  0.00
Rb (0.250, 0.750, 0.500)  0.00
F (0.248, 0.248, 0.505)  0.11
F (0.752, 0.752, 0.495)  0.11
F (0.286, 0.286, 0.000)  0.02
F (0.714, 0.714, 0.000)  0.02
F (0.714, 0.286, 0.000)  0.02
F (0.286, 0.714, 0.000)  0.02

---

Record 2
Computed, not measured: Sr2Mg17In3 after structural relaxation at the PBE level of DFT.

Calculated values
E: -1.694 eV/atom
Formation enthalpy at 0 K: 0.06 eV/atom
Calculated density: 2546 kg/m³
Size of the total moment: 0.000 μB per atom
Volume: 27.652 A^3/atom

Cell: 8.517 8.517 8.517 Å, 83.98 83.98 83.98°
Element x y z (fractional)
Sr (0.345, 0.345, 0.345)
Sr (0.655, 0.655, 0.655)
Mg (0.500, 0.000, 0.000)
Mg (0.000, 0.000, 0.500)
Mg (0.000, 0.500, 0.000)
Mg (0.000, 0.745, 0.255)
Mg (0.745, 0.255, 0.000)
Mg (0.255, 0.000, 0.745)
Mg (0.255, 0.745, 0.000)
Mg (0.745, 0.000, 0.255)
Mg (0.000, 0.255, 0.745)
Mg (0.182, 0.673, 0.673)
Mg (0.673, 0.673, 0.182)
Mg (0.673, 0.182, 0.673)
Mg (0.818, 0.327, 0.327)
Mg (0.327, 0.327, 0.818)
Mg (0.327, 0.818, 0.327)
Mg (0.102, 0.102, 0.102)
Mg (0.898, 0.898, 0.898)
In (0.000, 0.500, 0.500)
In (0.500, 0.500, 0.000)
In (0.500, 0.000, 0.500)